Record 1
PBE Rb3U2Te6Pb, optimized geometry; formation energy without anion corrections = -831 meV/atom; DOS at the Fermi energy = 16.5 states/eV per cell
1.0
-4.1188 1.8763 6.6473
0.7713 -7.6930 -2.2122
8.2425 1.3333 3.1094
Rb U Te Pb
3 2 6 1
direct
0.1609 0.8391 0.5000
0.8391 0.1609 0.5000
0.5000 0.5000 0.5000
0.3326 0.6674 0.0000
0.6674 0.3326 0.0000
0.9322 0.5828 0.7978
0.7173 0.7173 0.2001
0.0678 0.4172 0.2022
0.5828 0.9322 0.7978
0.2827 0.2827 0.7999
0.4172 0.0678 0.2022
0.0000 0.0000 0.0000


Record 2
PBE RbUTe3Pb, optimized geometry; formation energy without anion corrections = -633 meV/atom; DOS at the Fermi energy = 15.5 states/eV per cell
1.0
4.5999 0.0000 0.0000
0.0000 9.5492 0.0242
0.0000 -3.7354 11.3905
Rb U Te Pb
2 2 6 2
direct
0.7500 0.7825 0.7417
0.2500 0.2175 0.2583
0.2500 0.6410 0.1576
0.7500 0.3590 0.8424
0.2500 0.6430 0.4206
0.7500 0.8797 0.1917
0.7500 0.4073 0.1122
0.7500 0.3570 0.5794
0.2500 0.5927 0.8878
0.2500 0.1203 0.8083
0.2500 0.1432 0.5632
0.7500 0.8568 0.4368


Record 3
PBE Rb3U3Te8Pb, optimized geometry; formation energy without anion corrections = -776 meV/atom; DOS at the Fermi energy = 22.1 states/eV per cell
1.0
9.1399 0.0001 0.0000
-4.5698 7.9327 -0.0312
-0.0001 -5.2546 8.5703
Rb U Te Pb
3 3 8 1
direct
0.0000 0.0000 0.0000
0.0000 0.5000 0.0000
0.5000 0.5000 0.0000
0.5000 0.0000 0.5000
0.5000 0.5000 0.5000
0.0000 0.5000 0.5000
0.2660 0.5321 0.2991
0.7340 0.4679 0.7009
0.7566 0.5133 0.2996
0.2434 0.4867 0.7004
0.7567 0.0424 0.2987
0.2433 0.9576 0.7013
0.2856 0.0424 0.2988
0.7144 0.9576 0.7012
0.0000 0.0000 0.5000


Record 4
PBE RbYTe3Pb, optimized geometry; formation energy without anion corrections = -1009 meV/atom
1.0
-4.2757 -1.0620 -0.9265
0.8102 -7.9111 5.3288
-3.7821 9.0283 7.1053
Rb Y Te Pb
2 2 6 2
direct
0.2500 0.2143 0.2545
0.7500 0.7857 0.7455
0.2500 0.6336 0.1520
0.7500 0.3664 0.8480
0.7500 0.8757 0.1970
0.2500 0.1243 0.8030
0.2500 0.6377 0.4151
0.7500 0.3623 0.5849
0.7500 0.4013 0.1086
0.2500 0.5987 0.8914
0.2500 0.1423 0.5623
0.7500 0.8577 0.4377


Record 5
PBE RbThPb2, optimized geometry; DOS at the Fermi energy = 2.9 states/eV per cell; formation enthalpy at 0 K = -0.0697 eV/atom; energy relative to the lowest polymorph listed for this composition = 0.48 eV/f.u.
1.0
3.6439 0.0000 0.0000
1.8219 3.1557 0.0000
1.8219 1.0519 11.8686
Pb Rb Th
2 1 1
direct
0.7450 0.7450 0.7649
0.2550 0.2550 0.2351
0.5000 0.5000 0.5000
0.0000 0.0000 0.0000


Record 6
PBE RbThPb2, optimized geometry; DOS at the Fermi energy = 4.3 states/eV per cell; formation enthalpy at 0 K = -0.1905 eV/atom; energy relative to the lowest polymorph listed for this composition = 0.00 eV/f.u.
1.0
3.6013 0.0000 0.0000
0.0000 3.6013 0.0000
0.0000 0.0000 10.5181
Pb Rb Th
2 1 1
direct
0.0000 0.0000 0.7740
0.0000 0.0000 0.2260
0.5000 0.5000 0.5000
0.5000 0.5000 0.0000


Record 7
PBE RbTiPb2, optimized geometry; DOS at the Fermi energy = 3.5 states/eV per cell; formation enthalpy at 0 K = 0.3168 eV/atom; energy relative to the lowest polymorph listed for this composition = 0.00 eV/f.u.
1.0
-6.2361 0.2307 -1.8789
-1.6874 -3.6093 5.1574
-5.1167 5.6086 6.3687
Pb Rb Ti
4 2 2
direct
0.3775 0.1250 0.2500
0.3725 0.6250 0.2500
0.3750 0.6225 0.7500
0.8750 0.6275 0.7500
0.0000 0.0000 0.0000
0.7500 0.2500 0.5000
0.5000 0.5000 0.0000
0.2500 0.7500 0.5000


Record 8
PBE RbTiPb3, optimized geometry; DOS at the Fermi energy = 16.9 states/eV per cell; formation enthalpy at 0 K = 1.6484 eV/atom; energy relative to the lowest polymorph listed for this composition = 8.35 eV/f.u.
1.0
5.9461 0.0000 0.0000
0.0000 5.9461 0.0000
0.0000 0.0000 5.9461
Pb Rb Ti
3 1 1
direct
0.0000 0.5000 0.0000
0.0000 0.0000 0.5000
0.5000 0.0000 0.0000
0.0000 0.0000 0.0000
0.5000 0.5000 0.5000


Record 9
PBE RbTiPb3, optimized geometry; DOS at the Fermi energy = 2.5 states/eV per cell; formation enthalpy at 0 K = -0.0208 eV/atom; energy relative to the lowest polymorph listed for this composition = 0.00 eV/f.u.
1.0
-3.2607 -2.0831 -3.9493
4.4108 -2.2628 -2.4482
-0.6939 -4.5945 2.9964
Pb Rb Ti
3 1 1
direct
0.0000 0.5000 0.0000
0.0000 0.0000 0.5000
0.5000 0.0000 0.0000
0.5000 0.5000 0.5000
0.0000 0.0000 0.0000


Record 10
PBE Rb3TiPb, optimized geometry; DOS at the Fermi energy = 11.1 states/eV per cell; formation enthalpy at 0 K = 0.9266 eV/atom; energy relative to the lowest polymorph listed for this composition = 0.00 eV/f.u.
1.0
7.1145 0.0000 0.0000
0.0000 7.1145 0.0000
0.0000 0.0000 7.1145
Pb Rb Ti
1 3 1
direct
0.0000 0.0000 0.0000
0.0000 0.5000 0.0000
0.0000 0.0000 0.5000
0.5000 0.0000 0.0000
0.5000 0.5000 0.5000


Record 11
PBE RbTi3Pb, optimized geometry; DOS at the Fermi energy = 5.2 states/eV per cell; formation enthalpy at 0 K = 1.9022 eV/atom; energy relative to the lowest polymorph listed for this composition = 3.38 eV/f.u.
1.0
4.7882 0.0000 0.0000
0.0000 4.7882 0.0000
0.0000 0.0000 4.7882
Pb Rb Ti
1 1 3
direct
0.5000 0.5000 0.5000
0.0000 0.0000 0.0000
0.0000 0.5000 0.0000
0.0000 0.0000 0.5000
0.5000 0.0000 0.0000


Record 12
PBE RbTi3Pb, optimized geometry; DOS at the Fermi energy = 9.3 states/eV per cell; formation enthalpy at 0 K = 1.2270 eV/atom; energy relative to the lowest polymorph listed for this composition = 0.00 eV/f.u.
1.0
5.4929 0.0000 0.0000
0.0000 5.4929 0.0000
0.0000 0.0000 5.4929
Pb Rb Ti
1 1 3
direct
0.0000 0.0000 0.0000
0.5000 0.5000 0.5000
0.0000 0.5000 0.0000
0.0000 0.0000 0.5000
0.5000 0.0000 0.0000


Record 13
PBE RbTiPb2, optimized geometry; DOS at the Fermi energy = 9.7 states/eV per cell; formation enthalpy at 0 K = 0.5054 eV/atom; energy relative to the lowest polymorph listed for this composition = 0.75 eV/f.u.
1.0
0.0000 3.8809 3.8809
3.8809 0.0000 3.8809
3.8809 3.8809 0.0000
Pb Rb Ti
2 1 1
direct
0.2500 0.2500 0.2500
0.7500 0.7500 0.7500
0.5000 0.5000 0.5000
0.0000 0.0000 0.0000


Record 14
PBE Rb2TiPb2, optimized geometry; DOS at the Fermi energy = 8.7 states/eV per cell; formation enthalpy at 0 K = 0.2368 eV/atom
1.0
7.7900 0.0000 0.0000
0.0000 7.7900 0.0000
0.0000 0.0000 6.5168
Pb Rb Ti
4 4 2
direct
0.3052 0.8052 0.0000
0.8052 0.6948 0.0000
0.6948 0.1948 0.0000
0.1948 0.3052 0.0000
0.1598 0.6598 0.5000
0.6598 0.8402 0.5000
0.8402 0.3402 0.5000
0.3402 0.1598 0.5000
0.0000 0.0000 0.0000
0.5000 0.5000 0.0000


Record 15
PBE RbTi2Pb, optimized geometry; DOS at the Fermi energy = 10.0 states/eV per cell; formation enthalpy at 0 K = 0.8828 eV/atom
1.0
5.0559 0.0000 0.0000
0.0000 5.0559 0.0000
2.5279 2.5279 10.3774
Pb Rb Ti
2 2 4
direct
0.0000 0.0000 0.0000
0.7500 0.2500 0.5000
0.5000 0.5000 0.0000
0.2500 0.7500 0.5000
0.8750 0.1250 0.2500
0.8750 0.6250 0.2500
0.3750 0.1250 0.7500
0.8750 0.1250 0.7500


Record 16
PBE RbTi2Pb2, optimized geometry; DOS at the Fermi energy = 5.9 states/eV per cell; formation enthalpy at 0 K = 0.1932 eV/atom; energy relative to the lowest polymorph listed for this composition = 0.00 eV/f.u.
1.0
-1.0596 5.1649 7.2864
6.4585 -4.6250 4.2176
2.1729 2.0181 -1.1145
Pb Rb Ti
4 2 4
direct
0.1720 0.6720 0.5000
0.6720 0.8280 0.5000
0.8280 0.3280 0.5000
0.3280 0.1720 0.5000
0.0000 0.0000 0.0000
0.5000 0.5000 0.0000
0.3887 0.8887 0.0000
0.8887 0.6113 0.0000
0.6113 0.1113 0.0000
0.1113 0.3887 0.0000


Record 17
PBE RbTlPb3, optimized geometry; DOS at the Fermi energy = 3.6 states/eV per cell; formation enthalpy at 0 K = 0.9288 eV/atom; energy relative to the lowest polymorph listed for this composition = 5.06 eV/f.u.
1.0
6.2185 0.0000 0.0000
0.0000 6.2185 0.0000
0.0000 0.0000 6.2185
Pb Tl Rb
3 1 1
direct
0.0000 0.5000 0.0000
0.0000 0.0000 0.5000
0.5000 0.0000 0.0000
0.5000 0.5000 0.5000
0.0000 0.0000 0.0000


Record 18
PBE RbTlPb3, optimized geometry; DOS at the Fermi energy = 3.6 states/eV per cell; formation enthalpy at 0 K = 0.2563 eV/atom; energy relative to the lowest polymorph listed for this composition = 1.70 eV/f.u.
1.0
-2.5453 -3.6833 4.0465
-0.2362 -4.3848 -4.1398
5.4667 -1.9044 1.7052
Pb Tl Rb
3 1 1
direct
0.0000 0.5000 0.0000
0.0000 0.0000 0.5000
0.5000 0.0000 0.0000
0.0000 0.0000 0.0000
0.5000 0.5000 0.5000


Record 19
PBE RbTlPb2, optimized geometry; DOS at the Fermi energy = 11.8 states/eV per cell; formation enthalpy at 0 K = 0.1178 eV/atom; energy relative to the lowest polymorph listed for this composition = 0.87 eV/f.u.
1.0
-0.8586 2.5448 -4.7211
3.2440 -3.5610 -2.5095
-7.6630 -7.1772 -5.5996
Pb Tl Rb
4 2 2
direct
0.7136 0.1250 0.2500
0.0364 0.6250 0.2500
0.3750 0.2864 0.7500
0.8750 0.9636 0.7500
0.0000 0.0000 0.0000
0.7500 0.2500 0.5000
0.5000 0.5000 0.0000
0.2500 0.7500 0.5000


Record 20
PBE RbTl2Pb6, optimized geometry; DOS at the Fermi energy = 3.8 states/eV per cell; formation enthalpy at 0 K = -0.0347 eV/atom
1.0
-4.3002 -1.9549 -1.8626
1.6981 -4.6812 0.9928
-5.0674 0.5259 11.1473
Rb Tl Pb
1 2 6
direct
0.0000 0.0000 0.0000
0.5000 0.5000 0.1326
0.5000 0.5000 0.8674
0.0000 0.5000 0.3042
0.5000 0.0000 0.3042
0.0000 0.5000 0.6958
0.5000 0.0000 0.6958
0.5000 0.5000 0.5000
0.0000 0.0000 0.5000


Number 1: electronic total energy -58.0 eV per cell. Number 2: electronic total energy -58.4 eV per cell. Number 3: electronic total energy -77.2 eV per cell. Number 4: electronic total energy -53.2 eV per cell. Number 5: electronic total energy -16.1 eV per cell. Number 6: electronic total energy -16.6 eV per cell. Number 7: electronic total energy -30.0 eV per cell. Number 8: electronic total energy -11.7 eV per cell. Number 9: electronic total energy -20.1 eV per cell. Number 10: electronic total energy -9.9 eV per cell. Number 11: electronic total energy -18.8 eV per cell. Number 12: electronic total energy -22.2 eV per cell. Number 13: electronic total energy -14.3 eV per cell. Number 14: electronic total energy -32.1 eV per cell. Number 15: electronic total energy -33.9 eV per cell. Number 16: electronic total energy -46.4 eV per cell. Number 17: electronic total energy -9.8 eV per cell. Number 18: electronic total energy -13.2 eV per cell. Number 19: electronic total energy -20.6 eV per cell. Number 20: electronic total energy -28.3 eV per cell.